Here is a relaxed KLiMn2 crystal from Alexandria. Energies are from PBE.

abc: 6.326 6.326 2.941
angles: 101.94 101.94 124.99
Atoms (fractional coordinates):
K1 0.000 0.000 0.000
Li1 0.500 0.500 0.000
Mn1 0.000 0.500 0.500
Mn2 0.500 0.000 0.500

Properties
The excess energy over the best structure of this formula in the dataset is 238.5 meV/atom. The calculation puts the energy relative to the elements at 0.9000 eV/atom. The total magnetization is 7.8 μB per cell.

---

Here is a relaxed ThH2I2Br2 crystal from Alexandria. Energies are from PBE.

abc: 7.724 7.724 10.456
angles: 129.48 129.48 34.86
Atoms (fractional coordinates):
Th1 0.000 0.000 0.000
H1 0.033 0.033 0.522
H2 0.967 0.967 0.478
I1 0.437 0.437 0.138
I2 0.563 0.563 0.862
Br1 0.236 0.236 0.305
Br2 0.764 0.764 0.695

Properties
For the total energy, the calculation gives -3.959 eV per atom. The total magnetization is 0.0 μB per cell.

---

Here is a relaxed SrH3Pt crystal from Alexandria. Energies are from PBE.

abc: 3.112 5.823 5.823
angles: 44.24 90.00 90.00
Atoms (fractional coordinates):
Sr1 0.000 0.000 0.000
H1 0.000 0.478 0.913
H2 0.000 0.913 0.478
H3 0.500 0.847 0.847
Pt1 0.500 0.685 0.685

Properties
For the total energy, the calculation gives -3.705 eV per atom. The total magnetization is 0.0 μB per cell.

---

Here is a relaxed VNi2Rh4 crystal from Alexandria. Energies are from PBE.

abc: 4.799 6.381 6.600
angles: 90.28 91.24 111.69
Atoms (fractional coordinates):
V1 0.000 0.000 0.000
V2 0.233 0.484 0.499
Ni1 0.118 0.743 0.250
Ni2 0.329 0.166 0.314
Ni3 0.616 0.743 0.749
Ni4 0.905 0.321 0.184
Rh1 0.019 0.572 0.878
Rh2 0.215 0.916 0.622
Rh3 0.406 0.324 0.815
Rh4 0.486 0.978 0.006
Rh5 0.494 0.559 0.141
Rh6 0.741 0.929 0.358
Rh7 0.748 0.508 0.494
Rh8 0.828 0.163 0.686

Properties
The excess energy over the best structure of this formula in the dataset is 0.0 meV/atom. The calculation puts the energy relative to the elements at -0.0541 eV/atom. The total magnetization is 0.1 μB per cell.